1.
First-principles (PBE) data for a relaxed structure of Cd2TeW, as listed in the Alexandria database.

```
data_Cd2TeW
_chemical_formula_sum 'Cd6 Te3 W3'
_symmetry_space_group_name_H-M 'R 3 m'
_symmetry_Int_Tables_number 160
_symmetry_space_group_name_Hall 'R 3 -2"'
_cell_length_a 3.2066
_cell_length_b 3.2066
_cell_length_c 32.0207
_cell_angle_alpha 90.00
_cell_angle_beta 90.00
_cell_angle_gamma 120.00
loop_
_atom_site_label
_atom_site_type_symbol
_atom_site_fract_x
_atom_site_fract_y
_atom_site_fract_z
_atom_site_occupancy
Cd1 Cd 0.0000 0.0000 0.0000 1
Cd2 Cd 0.0000 0.0000 0.2455 1
Te1 Te 0.0000 0.0000 0.7792 1
W1 W 0.0000 0.0000 0.5068 1
```

Results
**Energy relative to the elements, uncorrected**: 0.34 eV per atom
**M_tot**: 0.00 μB/atom
**E**: -4.140 eV/atom



2.
First-principles (PBE) data for a relaxed structure of HfTlPb2, as listed in the Alexandria database.

```
data_HfTlPb2
_chemical_formula_sum 'Hf4 Tl4 Pb8'
_symmetry_space_group_name_H-M 'F m -3 m'
_symmetry_Int_Tables_number 225
_symmetry_space_group_name_Hall '-F 4 2 3'
_cell_length_a 7.639
_cell_length_b 7.639
_cell_length_c 7.639
_cell_angle_alpha 90.00
_cell_angle_beta 90.00
_cell_angle_gamma 90.00
loop_
_atom_site_label
_atom_site_type_symbol
_atom_site_fract_x
_atom_site_fract_y
_atom_site_fract_z
_atom_site_occupancy
Hf1 Hf 0.000 0.000 0.000 1
Tl1 Tl 0.000 0.000 0.500 1
Pb1 Pb 0.250 0.250 0.250 1
```

Results
**Relative energy among the computed polymorphs**: 0.327 eV per atom
**M_tot**: 0.00 μB/atom
**Formation energy from the elements**: 0.396 eV per atom
**E**: -4.538 eV/atom



3.
First-principles (PBE) data for a relaxed structure of InN2OF, as listed in the Alexandria database.

```
data_InN2OF
_chemical_formula_sum 'In1 N2 O1 F1'
_symmetry_space_group_name_H-M 'P 4/m m m'
_symmetry_Int_Tables_number 123
_symmetry_space_group_name_Hall '-P 4 2'
_cell_length_a 3.473
_cell_length_b 3.473
_cell_length_c 4.613
_cell_angle_alpha 90.00
_cell_angle_beta 90.00
_cell_angle_gamma 90.00
loop_
_atom_site_label
_atom_site_type_symbol
_atom_site_fract_x
_atom_site_fract_y
_atom_site_fract_z
_atom_site_occupancy
In1 In 0.000 0.000 0.000 1
N1 N 0.000 0.500 0.500 1
O1 O 0.500 0.500 0.500 1
F1 F 0.500 0.500 0.000 1
```

Results
**Energy relative to the elements, uncorrected**: 1.32 eV per atom
**M_tot**: 0.00 μB/atom
**E**: -3.927 eV/atom



4.
First-principles (PBE) data for a relaxed structure of TcAg2O5, as listed in the Alexandria database.

```
data_TcAg2O5
_chemical_formula_sum 'Tc4 Ag8 O20'
_symmetry_space_group_name_H-M 'C m c m'
_symmetry_Int_Tables_number 63
_symmetry_space_group_name_Hall '-C 2c 2'
_cell_length_a 3.790
_cell_length_b 11.643
_cell_length_c 10.756
_cell_angle_alpha 90.00
_cell_angle_beta 90.00
_cell_angle_gamma 90.00
loop_
_atom_site_label
_atom_site_type_symbol
_atom_site_fract_x
_atom_site_fract_y
_atom_site_fract_z
_atom_site_occupancy
Tc1 Tc 0.000 0.147 0.250 1
Ag1 Ag 0.000 0.139 0.568 1
O1 O 0.000 0.038 0.125 1
O2 O 0.000 0.264 0.120 1
O3 O 0.000 0.345 0.750 1
```

Results
**Relative energy among the computed polymorphs**: 0.146 eV per atom
**Energy relative to the elements, uncorrected**: -0.60 eV per atom
**M_tot**: 0.00 μB/atom
**E**: -5.707 eV/atom



5.
First-principles (PBE) data for a relaxed structure of K2DySb2O6, as listed in the Alexandria database.

```
data_K2DySb2O6
_chemical_formula_sum 'K4 Dy2 Sb4 O12'
_symmetry_space_group_name_H-M 'C 1 2/m 1'
_symmetry_Int_Tables_number 12
_cell_length_a 9.982
_cell_length_b 6.290
_cell_length_c 7.310
_cell_angle_alpha 90.00
_cell_angle_beta 115.17
_cell_angle_gamma 90.00
loop_
_symmetry_equiv_pos_as_xyz
'x,y,z'
'-x,-y,-z'
'-x,y,-z'
'x,-y,z'
'x+1/2,y+1/2,z'
'-x+1/2,-y+1/2,-z'
'-x+1/2,y+1/2,-z'
'x+1/2,-y+1/2,z'
loop_
_atom_site_label
_atom_site_type_symbol
_atom_site_fract_x
_atom_site_fract_y
_atom_site_fract_z
_atom_site_occupancy
K1 K 0.199 0.000 0.143 1
Dy1 Dy 0.000 0.000 0.500 1
Sb1 Sb 0.071 0.500 0.238 1
O1 O 0.044 0.255 0.745 1
O2 O 0.238 0.000 0.534 1
```

Results
**Energy relative to the elements, uncorrected**: -1.86 eV per atom
**M_tot**: 0.09 μB/atom
**E**: -5.929 eV/atom



6.
First-principles (PBE) data for a relaxed structure of LaCdTe2O8, as listed in the Alexandria database.

```
data_LaCdTe2O8
_chemical_formula_sum 'La1 Cd1 Te2 O8'
_symmetry_space_group_name_H-M 'P -3 m 1'
_symmetry_Int_Tables_number 164
_symmetry_space_group_name_Hall '-P 3 2"'
_cell_length_a 5.9921
_cell_length_b 5.9921
_cell_length_c 7.2130
_cell_angle_alpha 90.00
_cell_angle_beta 90.00
_cell_angle_gamma 120.00
loop_
_atom_site_label
_atom_site_type_symbol
_atom_site_fract_x
_atom_site_fract_y
_atom_site_fract_z
_atom_site_occupancy
La1 La 0.0000 0.0000 0.0000 1
Cd1 Cd 0.0000 0.0000 0.5000 1
Te1 Te 0.3333 0.6667 0.2089 1
O1 O 0.1545 0.3091 0.2694 1
O2 O 0.3333 0.6667 0.9540 1
```

Results
**Energy relative to the elements, uncorrected**: -1.34 eV per atom
**M_tot**: 0.00 μB/atom
**E**: -5.653 eV/atom



7.
First-principles (PBE) data for a relaxed structure of Nb2IrCl, as listed in the Alexandria database.

```
data_Nb2IrCl
_chemical_formula_sum 'Nb8 Ir4 Cl4'
_symmetry_space_group_name_H-M 'F m -3 m'
_symmetry_Int_Tables_number 225
_symmetry_space_group_name_Hall '-F 4 2 3'
_cell_length_a 6.436
_cell_length_b 6.436
_cell_length_c 6.436
_cell_angle_alpha 90.00
_cell_angle_beta 90.00
_cell_angle_gamma 90.00
loop_
_atom_site_label
_atom_site_type_symbol
_atom_site_fract_x
_atom_site_fract_y
_atom_site_fract_z
_atom_site_occupancy
Nb1 Nb 0.250 0.250 0.250 1
Ir1 Ir 0.000 0.000 0.000 1
Cl1 Cl 0.000 0.000 0.500 1
```

Results
**Relative energy among the computed polymorphs**: 0.000 eV per atom
**Energy relative to the elements, uncorrected**: 0.10 eV per atom
**M_tot**: 0.00 μB/atom
**E**: -7.607 eV/atom



8.
First-principles (PBE) data for a relaxed structure of BaIn2Ru, as listed in the Alexandria database.

```
data_BaIn2Ru
_chemical_formula_sum 'Ba3 In6 Ru3'
_symmetry_space_group_name_H-M 'R 3 m'
_symmetry_Int_Tables_number 160
_symmetry_space_group_name_Hall 'R 3 -2"'
_cell_length_a 4.7080
_cell_length_b 4.7080
_cell_length_c 18.3228
_cell_angle_alpha 90.00
_cell_angle_beta 90.00
_cell_angle_gamma 120.00
loop_
_atom_site_label
_atom_site_type_symbol
_atom_site_fract_x
_atom_site_fract_y
_atom_site_fract_z
_atom_site_occupancy
Ba1 Ba 0.0000 0.0000 0.0000 1
In1 In 0.0000 0.0000 0.5389 1
In2 In 0.0000 0.0000 0.8004 1
Ru1 Ru 0.0000 0.0000 0.1819 1
```

Results
**M_tot**: 0.00 μB/atom
**Formation energy from the elements**: -0.058 eV per atom
**E**: -4.226 eV/atom



9.
First-principles (PBE) data for a relaxed structure of NdGa6Ru4, as listed in the Alexandria database.

```
data_NdGa6Ru4
_chemical_formula_sum 'Nd2 Ga12 Ru8'
_symmetry_space_group_name_H-M 'I -4 2 m'
_symmetry_Int_Tables_number 121
_symmetry_space_group_name_Hall 'I -4 2'
_cell_length_a 6.600
_cell_length_b 6.600
_cell_length_c 9.363
_cell_angle_alpha 90.00
_cell_angle_beta 90.00
_cell_angle_gamma 90.00
loop_
_atom_site_label
_atom_site_type_symbol
_atom_site_fract_x
_atom_site_fract_y
_atom_site_fract_z
_atom_site_occupancy
Nd1 Nd 0.000 0.000 0.000 1
Ga1 Ga 0.000 0.500 0.000 1
Ga2 Ga 0.189 0.189 0.706 1
Ru1 Ru 0.160 0.160 0.416 1
```

Results
**M_tot**: 0.00 μB/atom
**Formation energy from the elements**: -0.226 eV per atom
**E**: -5.683 eV/atom



10.
First-principles (PBE) data for a relaxed structure of Sr2SmGaSe5, as listed in the Alexandria database.

```
data_Sr2SmGaSe5
_chemical_formula_sum 'Sr8 Sm4 Ga4 Se20'
_symmetry_space_group_name_H-M 'C m c 21'
_symmetry_Int_Tables_number 36
_cell_length_a 4.148
_cell_length_b 18.967
_cell_length_c 12.880
_cell_angle_alpha 90.00
_cell_angle_beta 90.00
_cell_angle_gamma 90.00
loop_
_symmetry_equiv_pos_as_xyz
'x,y,z'
'-x,-y,z+1/2'
'-x,y,z'
'x,-y,z+1/2'
'x+1/2,y+1/2,z'
'-x+1/2,-y+1/2,z+1/2'
'-x+1/2,y+1/2,z'
'x+1/2,-y+1/2,z+1/2'
loop_
_atom_site_label
_atom_site_type_symbol
_atom_site_fract_x
_atom_site_fract_y
_atom_site_fract_z
_atom_site_occupancy
Sr1 Sr 0.000 0.117 0.000 1
Sr2 Sr 0.000 0.122 0.642 1
Sm1 Sm 0.000 0.207 0.343 1
Ga1 Ga 0.000 0.442 0.749 1
Se1 Se 0.000 0.044 0.358 1
Se2 Se 0.000 0.294 0.997 1
Se3 Se 0.000 0.318 0.682 1
Se4 Se 0.000 0.356 0.324 1
Se5 Se 0.000 0.498 0.086 1
```

Results
**Energy relative to the elements, uncorrected**: -1.61 eV per atom
**M_tot**: 0.00 μB/atom
**E**: -4.784 eV/atom



11.
First-principles (PBE) data for a relaxed structure of SbRuC2N, as listed in the Alexandria database.

```
data_SbRuC2N
_chemical_formula_sum 'Sb1 Ru1 C2 N1'
_symmetry_space_group_name_H-M 'P 4/m m m'
_symmetry_Int_Tables_number 123
_symmetry_space_group_name_Hall '-P 4 2'
_cell_length_a 3.743
_cell_length_b 3.743
_cell_length_c 4.321
_cell_angle_alpha 90.00
_cell_angle_beta 90.00
_cell_angle_gamma 90.00
loop_
_atom_site_label
_atom_site_type_symbol
_atom_site_fract_x
_atom_site_fract_y
_atom_site_fract_z
_atom_site_occupancy
Sb1 Sb 0.000 0.000 0.000 1
Ru1 Ru 0.500 0.500 0.000 1
C1 C 0.000 0.500 0.500 1
N1 N 0.000 0.000 0.500 1
```

Results
**Energy relative to the elements, uncorrected**: 2.59 eV per atom
**M_tot**: 0.00 μB/atom
**E**: -5.446 eV/atom



12.
First-principles (PBE) data for a relaxed structure of KNi2Ag, as listed in the Alexandria database.

```
data_KNi2Ag
_chemical_formula_sum 'K4 Ni8 Ag4'
_symmetry_space_group_name_H-M 'I 41/a m d'
_symmetry_Int_Tables_number 141
_cell_length_a 4.676
_cell_length_b 4.676
_cell_length_c 18.189
_cell_angle_alpha 90.00
_cell_angle_beta 90.00
_cell_angle_gamma 90.00
loop_
_symmetry_equiv_pos_as_xyz
'x,y,z'
'-x,-y,-z'
'-y+1/4,x+3/4,z+1/4'
'y+1/4,-x+3/4,-z+1/4'
'-x+1/2,-y,z+1/2'
'x+1/2,y,-z+1/2'
'y+1/4,-x+1/4,z+3/4'
'-y+1/4,x+1/4,-z+3/4'
'x,-y,-z'
'-x,y,z'
'-y+1/4,-x+1/4,-z+3/4'
'y+1/4,x+1/4,z+3/4'
'-x+1/2,y,-z+1/2'
'x+1/2,-y,z+1/2'
'y+1/4,x+3/4,-z+1/4'
'-y+1/4,-x+3/4,z+1/4'
'x+1/2,y+1/2,z+1/2'
'-x+1/2,-y+1/2,-z+1/2'
'-y+3/4,x+1/4,z+3/4'
'y+3/4,-x+1/4,-z+3/4'
'-x,-y+1/2,z'
'x,y+1/2,-z'
'y+3/4,-x+3/4,z+1/4'
'-y+3/4,x+3/4,-z+1/4'
'x+1/2,-y+1/2,-z+1/2'
'-x+1/2,y+1/2,z+1/2'
'-y+3/4,-x+3/4,-z+1/4'
'y+3/4,x+3/4,z+1/4'
'-x,y+1/2,-z'
'x,-y+1/2,z'
'y+3/4,x+1/4,-z+3/4'
'-y+3/4,-x+1/4,z+3/4'
loop_
_atom_site_label
_atom_site_type_symbol
_atom_site_fract_x
_atom_site_fract_y
_atom_site_fract_z
_atom_site_occupancy
K1 K 0.000 0.250 0.375 1
Ni1 Ni 0.000 0.000 0.000 1
Ag1 Ag 0.000 0.250 0.875 1
```

Results
**Relative energy among the computed polymorphs**: 0.257 eV per atom
**M_tot**: 0.34 μB/atom
**Formation energy from the elements**: 0.668 eV per atom
**E**: -3.210 eV/atom



Q: What is the formula in the seventh record?
A: Nb2IrCl